Here is Er3Te2Pt after structural relaxation from the Alexandria database. Energies are from PBE.

a b c (Å): 13.9799 13.3316 7.4579
angles (deg): 79.01 69.41 31.58
Atoms (fractional coordinates):
Er (0.0358, 0.5336, 0.1813)
Er (0.0905, 0.6595, 0.6595)
Er (0.1813, 0.7493, 0.0358)
Er (0.2507, 0.8187, 0.4664)
Er (0.3405, 0.9095, 0.9095)
Er (0.4664, 0.9642, 0.2507)
Er (0.5336, 0.0358, 0.7493)
Er (0.6595, 0.0905, 0.0905)
Er (0.7493, 0.1813, 0.5336)
Er (0.8187, 0.2507, 0.9642)
Er (0.9095, 0.3405, 0.3405)
Er (0.9642, 0.4664, 0.8187)
Te (0.1304, 0.1304, 0.6196)
Te (0.2961, 0.2961, 0.4539)
Te (0.3804, 0.3804, 0.8696)
Te (0.4539, 0.4539, 0.2961)
Te (0.5461, 0.5461, 0.7039)
Te (0.6196, 0.6196, 0.1304)
Te (0.7039, 0.7039, 0.5461)
Te (0.8696, 0.8696, 0.3804)
Pt (0.0416, 0.0416, 0.2084)
Pt (0.2084, 0.2084, 0.0416)
Pt (0.7916, 0.7916, 0.9584)
Pt (0.9584, 0.9584, 0.7916)

Computed properties:
Its uncorrected formation energy is -1.280 eV/atom. The size of the total moment is 0.00 μB per formula unit. The energy comes out at -134.77 eV for the cell shown.